NiPb2Cl after structural relaxation. Source: Alexandria via LeMat-Bulk, functional PBE.

Lattice parameters (Å, degrees): 5.312 5.312 3.258 90.00 90.00 90.01
Fractional positions:
Pb1 0.000 0.000 0.000
Pb2 0.500 0.500 0.000
Cl1 0.500 0.000 0.500
Ni1 0.000 0.500 0.500

Calculated values
* ΔE to the lowest computed polymorph: 207 meV per atom
* E_form (uncorrected): 0.031 eV/atom
* raw total energy: -14.92 eV/cell
* Fermi-level density of states: 0.532 states/eV per atom